A geometry-optimized LaPuS2O structure. Source: Alexandria via LeMat-Bulk, functional PBE.

The structure in extended XYZ format:
```
10
Lattice="-0.844 -3.421 -1.892 1.244 -2.070 3.188 -12.832 0.292 5.197" Properties=species:S:1:pos:R:3 pbc="T T T"
S -12.080 -1.445 3.775
S -8.397 -0.830 5.246
S -4.235 -1.624 0.598
S -0.552 -1.008 2.069
O -6.416 0.146 2.598
O -6.216 -2.599 3.246
Pu -10.766 -0.776 6.206
Pu -1.865 -1.678 -0.361
La -4.618 -0.916 3.716
La -8.014 -1.538 2.129
```

Results
Crystal system: tetragonal
Total magnetization in μB/f.u.: 4.99
Formation energy from raw total energies in meV per atom: -2377